(1)
Compound: DyHfCu
Source: the Alexandria database
Functional: GGA-PBE
Structure: relaxed

Results
For the density of states at the Fermi level, the calculation gives 3.828 states/eV/cell. The excess energy over the best structure of this formula in the dataset comes out at 0.0 kJ/mol of atoms. The calculation puts the formation energy at -5.6 kJ per mole of atoms. The space-group type is I4mm (107).

a b c (Å): 6.2668 6.2668 6.2668
angles (deg): 149.27 149.27 44.01
With the nearest neighbours (Å) after each atom.
Atoms (fractional coordinates):
Dy  0.0000  0.0000  0.0000  4 Cu 3.12, 4 Hf 3.29, 4 Dy 3.32
Hf  0.3018  0.3018  0.0000  4 Cu 2.76
Cu  0.6769  0.6769  0.0000  4 Hf 2.76



(2)
Compound: DyHfCu2
Source: the Alexandria database
Functional: GGA-PBE
Structure: relaxed

Results
For the density of states at the Fermi level, the calculation gives 4.028 states/eV/cell. The excess energy over the best structure of this formula in the dataset comes out at 4.0 kJ/mol of atoms. The calculation puts the formation energy at -10.5 kJ per mole of atoms. The space-group type is P4/mmm (123).

a b c (Å): 4.7584 4.7584 3.3013
angles (deg): 90.00 90.00 90.00
With the nearest neighbours (Å) after each atom.
Atoms (fractional coordinates):
Dy  0.0000  0.0000  0.0000  8 Cu 2.90
Hf  0.5000  0.5000  0.0000  8 Cu 2.90
Cu  0.0000  0.5000  0.5000  4 Hf 2.90, 4 Dy 2.90
Cu  0.5000  0.0000  0.5000  4 Hf 2.90, 4 Dy 2.90



(3)
Compound: Dy2HfCu
Source: the Alexandria database
Functional: GGA-PBE
Structure: relaxed

Results
For the density of states at the Fermi level, the calculation gives 4.580 states/eV/cell. The excess energy over the best structure of this formula in the dataset comes out at 43.0 kJ/mol of atoms. The calculation puts the formation energy at 38.6 kJ per mole of atoms. The space-group type is R-3m (166).

a b c (Å): 11.1274 11.1274 11.1274
angles (deg): 16.56 16.56 16.56
With the nearest neighbours (Å) after each atom.
Atoms (fractional coordinates):
Dy  0.0974  0.0974  0.0974  3 Cu 2.94, 6 Dy 3.20, 1 Hf 3.21
Dy  0.9026  0.9026  0.9026  3 Cu 2.94, 6 Dy 3.20, 1 Hf 3.21
Hf  0.0000  0.0000  0.0000  6 Hf 3.20, 2 Dy 3.21
Cu  0.5000  0.5000  0.5000  6 Dy 2.94, 6 Cu 3.20



(4)
Compound: DyHfCuHg
Source: the Alexandria database
Functional: GGA-PBE
Structure: relaxed

Results
For the density of states at the Fermi level, the calculation gives 3.808 states/eV/cell. The calculation puts the formation energy at -8.1 kJ per mole of atoms. The space-group type is F-43m (216).

a b c (Å): 4.9423 4.9423 4.9423
angles (deg): 60.00 60.00 60.00
With the nearest neighbours (Å) after each atom.
Atoms (fractional coordinates):
Dy  0.0000  0.0000  0.0000  4 Hg 3.03, 4 Cu 3.03
Hf  0.5000  0.5000  0.5000  4 Hg 3.03, 4 Cu 3.03
Cu  0.7500  0.7500  0.7500  4 Hf 3.03, 4 Dy 3.03
Hg  0.2500  0.2500  0.2500  4 Hf 3.03, 4 Dy 3.03



(5)
Compound: DyHfCuIr
Source: the Alexandria database
Functional: GGA-PBE
Structure: relaxed

Results
For the density of states at the Fermi level, the calculation gives 2.701 states/eV/cell. The calculation puts the formation energy at -50.7 kJ per mole of atoms. The space-group type is F-43m (216).

a b c (Å): 4.7423 4.7423 4.7423
angles (deg): 60.00 60.00 60.00
With the nearest neighbours (Å) after each atom.
Atoms (fractional coordinates):
Dy  0.0000  0.0000  0.0000  4 Ir 2.90, 4 Cu 2.90
Hf  0.5000  0.5000  0.5000  4 Cu 2.90, 4 Ir 2.90
Cu  0.2500  0.2500  0.2500  4 Hf 2.90, 4 Dy 2.90
Ir  0.7500  0.7500  0.7500  4 Hf 2.90, 4 Dy 2.90



(6)
Compound: DyHfCuNi
Source: the Alexandria database
Functional: GGA-PBE
Structure: relaxed

Results
For the density of states at the Fermi level, the calculation gives 2.912 states/eV/cell. The calculation puts the formation energy at -21.3 kJ per mole of atoms. The space-group type is F-43m (216).

a b c (Å): 4.6826 4.6826 4.6826
angles (deg): 60.00 60.00 60.00
With the nearest neighbours (Å) after each atom.
Atoms (fractional coordinates):
Dy  0.0000  0.0000  0.0000  4 Ni 2.87, 4 Cu 2.87
Hf  0.5000  0.5000  0.5000  4 Ni 2.87, 4 Cu 2.87
Cu  0.2500  0.2500  0.2500  4 Hf 2.87, 4 Dy 2.87
Ni  0.7500  0.7500  0.7500  4 Dy 2.87, 4 Hf 2.87



(7)
Compound: DyHfCuPd
Source: the Alexandria database
Functional: GGA-PBE
Structure: relaxed

Results
For the density of states at the Fermi level, the calculation gives 2.790 states/eV/cell. The calculation puts the formation energy at -37.7 kJ per mole of atoms. The space-group type is F-43m (216).

a b c (Å): 4.7929 4.7929 4.7929
angles (deg): 60.00 60.00 60.00
With the nearest neighbours (Å) after each atom.
Atoms (fractional coordinates):
Dy  0.0000  0.0000  0.0000  4 Cu 2.94, 4 Pd 2.94
Hf  0.5000  0.5000  0.5000  4 Cu 2.94, 4 Pd 2.94
Cu  0.2500  0.2500  0.2500  4 Hf 2.94, 4 Dy 2.94
Pd  0.7500  0.7500  0.7500  4 Hf 2.94, 4 Dy 2.94



(8)
Compound: DyHfCuRe
Source: the Alexandria database
Functional: GGA-PBE
Structure: relaxed

Results
For the density of states at the Fermi level, the calculation gives 2.872 states/eV/cell. The calculation puts the formation energy at -9.6 kJ per mole of atoms. The space-group type is F-43m (216).

a b c (Å): 4.7312 4.7312 4.7312
angles (deg): 60.00 60.00 60.00
With the nearest neighbours (Å) after each atom.
Atoms (fractional coordinates):
Dy  0.0000  0.0000  0.0000  4 Re 2.90, 4 Cu 2.90
Hf  0.5000  0.5000  0.5000  4 Cu 2.90, 4 Re 2.90
Cu  0.7500  0.7500  0.7500  4 Hf 2.90, 4 Dy 2.90
Re  0.2500  0.2500  0.2500  4 Hf 2.90, 4 Dy 2.90